Record 1
Below is a relaxed TcRu2Pb crystal, with properties calculated at the PBE level.

Cell lengths 4.5244, 4.5244, 4.5244 Å; angles 60.00, 60.00, 60.00 degrees
Closest atoms and distances in Å follow each position.
Element x y z (fractional)
Pb (0.5000, 0.5000, 0.5000)  4 Tc 2.77, 4 Ru 2.77
Ru (0.0000, 0.0000, 0.0000)  4 Tc 2.77, 4 Ru 2.77
Ru (0.2500, 0.2500, 0.2500)  4 Pb 2.77, 4 Ru 2.77
Tc (0.7500, 0.7500, 0.7500)  4 Pb 2.77, 4 Ru 2.77

For the total magnetic moment, the calculation gives 1.24 μB per cell. As for the raw total energy: -7.5468 eV/atom. For the formation energy from the elements, the calculation gives 235 kJ/mol of formula units.



Record 2
Below is a relaxed Ca2PmHg4 crystal, with properties calculated at the PBE level.

Cell lengths 5.2248, 5.2248, 9.3686 Å; angles 73.81, 73.81, 60.00 degrees
Closest atoms and distances in Å follow each position.
Element x y z (fractional)
Ca (0.7567, 0.7567, 0.7300)  8 Hg 3.15-3.45
Ca (0.2433, 0.2433, 0.2700)  8 Hg 3.15-3.45
Hg (0.8760, 0.8760, 0.3720)  4 Ca 3.15-3.18, 1 Pm 3.30
Hg (0.1240, 0.1240, 0.6280)  4 Ca 3.15-3.18, 1 Pm 3.30
Hg (0.6268, 0.6268, 0.1195)  3 Pm 3.20, 4 Ca 3.30-3.45
Hg (0.3732, 0.3732, 0.8805)  3 Pm 3.20, 4 Ca 3.30-3.45
Pm (0.0000, 0.0000, 0.0000)  8 Hg 3.20-3.30

For the total magnetic moment, the calculation gives 0.00 μB per cell. As for the raw total energy: -1.8142 eV/atom. For the formation energy from the elements, the calculation gives -264 kJ/mol of formula units.



Record 3
Below is a relaxed Tb2ErCu6 crystal, with properties calculated at the PBE level.

Cell lengths 3.5604, 7.3211, 7.3211 Å; angles 120.00, 90.00, 90.00 degrees
Closest atoms and distances in Å follow each position.
Element x y z (fractional)
Tb (0.0000, 0.3333, 0.6667)  12 Cu 3.02
Tb (0.0000, 0.6667, 0.3333)  12 Cu 3.02
Er (0.0000, 0.0000, 0.0000)  12 Cu 3.02
Cu (0.5000, 0.3324, 0.3324)  3 Cu 2.43-2.45
Cu (0.5000, 0.6676, 0.6676)  3 Cu 2.43-2.45
Cu (0.5000, 0.0000, 0.6676)  3 Cu 2.43-2.45
Cu (0.5000, 0.6676, 0.0000)  3 Cu 2.43-2.45
Cu (0.5000, 0.3324, 0.0000)  3 Cu 2.43-2.45
Cu (0.5000, 0.0000, 0.3324)  3 Cu 2.43-2.45

For the total magnetic moment, the calculation gives 0.00 μB per cell. As for the raw total energy: -4.5264 eV/atom. For the formation energy from the elements, the calculation gives -226 kJ/mol of formula units.



Record 4
Below is a relaxed ZnPbW crystal, with properties calculated at the PBE level.

Cell lengths 7.6095, 7.5061, 2.9704 Å; angles 80.63, 76.72, 22.65 degrees
Closest atoms and distances in Å follow each position.
Element x y z (fractional)
Pb (0.0160, 0.0160, 0.9840)  4 Pb 2.97, 4 W 3.05-3.30
W (0.6799, 0.6799, 0.3201)  4 Zn 2.62-2.90
Zn (0.3040, 0.3040, 0.6960)  4 W 2.62-2.90

The relative energy among the computed polymorphs comes out at 12.7 meV/atom. For the total magnetic moment, the calculation gives 0.00 μB per cell. As for the raw total energy: -5.2365 eV/atom. For the formation energy from the elements, the calculation gives 215 kJ/mol of formula units.



What is the formula in the third record? Tb2ErCu6